DFT (PBE) results for crystalline NdYIr at its relaxed geometry.

Calculated values
DFT formation energy (eV per atom): -0.587

abc: 4.654 7.543 7.543
angles: 119.92 90.00 90.00
Fractional coordinates of all 9 atoms:
Nd 0.000 0.000 0.000
Nd 0.000 0.182 0.591
Nd 0.000 0.591 0.182
Y 0.500 0.330 0.330
Y 0.500 0.591 0.851
Y 0.500 0.851 0.591
Ir 0.000 0.591 0.591
Ir 0.500 0.257 0.924
Ir 0.500 0.924 0.257